NaNb2CoRu | GGA-PBE | relaxed

a = 4.5720 Å, b = 4.5720 Å, c = 4.3670 Å
α = 90.00°, β = 90.00°, γ = 90.00°
Space group P4/mmm (No. 123)
Asymmetric unit:
Na 0.0000 0.0000 0.0000 x1
Nb 0.0000 0.5000 0.0000 x2
Co 0.5000 0.5000 0.5000 x1
Ru 0.0000 0.0000 0.5000 x1

magnetic moment	0.00	μB/f.u.
DOS at the Fermi energy	8.54	states/eV per cell
DFT total energy	-25.92	eV per cell

***

NaNbCoS3 | GGA-PBE | relaxed

a = 7.7495 Å, b = 3.4762 Å, c = 8.9040 Å
α = 90.00°, β = 110.08°, γ = 90.00°
Space group P2_1/m (No. 11)
Asymmetric unit:
Na 0.2361 0.2500 0.2610 x2
Nb 0.3005 0.7500 0.8257 x2
Co 0.0856 0.2500 0.6039 x2
S 0.0879 0.2500 0.8556 x2
S 0.2268 0.7500 0.5371 x2
S 0.4456 0.7500 0.1395 x2

magnetic moment	0.96	μB/f.u.
uncorrected formation energy	-0.933	eV/atom
DOS at the Fermi energy	4.42	states/eV per cell
DFT total energy	-72.95	eV per cell

***

Na2Nb2CoS6 | GGA-PBE | relaxed

a = 5.9344 Å, b = 10.5505 Å, c = 7.1860 Å
α = 90.00°, β = 104.92°, γ = 90.00°
Space group C2/m (No. 12)
Asymmetric unit:
Na 0.0000 0.1780 0.0000 x4
Nb 0.0000 0.3582 0.5000 x4
Co 0.0000 0.0000 0.5000 x2
S 0.2166 0.1642 0.6946 x8
S 0.2362 0.0000 0.2771 x4

magnetic moment	1.00	μB/f.u.
uncorrected formation energy	-0.886	eV/atom
DOS at the Fermi energy	8.75	states/eV per cell
DFT total energy	-128.80	eV per cell

***

Na2Nb2CoSe6 | GGA-PBE | relaxed

a = 6.2306 Å, b = 10.9753 Å, c = 7.5580 Å
α = 90.00°, β = 104.33°, γ = 90.00°
Space group C2/m (No. 12)
Asymmetric unit:
Na 0.0000 0.1837 0.0000 x4
Nb 0.0000 0.3632 0.5000 x4
Co 0.0000 0.0000 0.5000 x2
Se 0.2112 0.1653 0.6931 x8
Se 0.2389 0.0000 0.2693 x4

magnetic moment	1.01	μB/f.u.
uncorrected formation energy	-0.727	eV/atom
DOS at the Fermi energy	9.81	states/eV per cell
DFT total energy	-117.57	eV per cell

***

Na3NbCo2Se6 | GGA-PBE | relaxed

a = 6.4792 Å, b = 11.1116 Å, c = 7.1715 Å
α = 90.00°, β = 107.40°, γ = 90.00°
Space group C2/m (No. 12)
Asymmetric unit:
Na 0.0000 0.0000 0.0000 x2
Na 0.0000 0.3394 0.0000 x4
Nb 0.0000 0.5000 0.5000 x2
Co 0.0000 0.1679 0.5000 x4
Se 0.2085 0.0000 0.6924 x4
Se 0.2431 0.3228 0.6946 x8

magnetic moment	1.99	μB/f.u.
uncorrected formation energy	-0.608	eV/atom
DOS at the Fermi energy	13.72	states/eV per cell
DFT total energy	-112.89	eV per cell

***

Na2SrNbCo | GGA-PBE | relaxed

a = 5.4899 Å, b = 5.4899 Å, c = 4.5627 Å
α = 90.00°, β = 90.00°, γ = 90.00°
Space group P4/mmm (No. 123)
Asymmetric unit:
Na 0.0000 0.5000 0.0000 x2
Sr 0.0000 0.0000 0.5000 x1
Nb 0.5000 0.5000 0.5000 x1
Co 0.5000 0.5000 0.0000 x1

magnetic moment	1.51	μB/f.u.
DOS at the Fermi energy	5.82	states/eV per cell
DFT total energy	-17.90	eV per cell

***

NaNbCoTe2 | GGA-PBE | relaxed

a = 5.0159 Å, b = 5.0159 Å, c = 4.6513 Å
α = 90.00°, β = 90.00°, γ = 90.00°
Space group P4/mmm (No. 123)
Asymmetric unit:
Na 0.0000 0.0000 0.0000 x1
Nb 0.5000 0.5000 0.0000 x1
Co 0.0000 0.0000 0.5000 x1
Te 0.0000 0.5000 0.5000 x2

magnetic moment	2.09	μB/f.u.
uncorrected formation energy	0.648	eV/atom
DOS at the Fermi energy	3.94	states/eV per cell
DFT total energy	-21.54	eV per cell

***

Na2NbCoW | GGA-PBE | relaxed

a = 5.2105 Å, b = 5.2105 Å, c = 4.2968 Å
α = 90.00°, β = 90.00°, γ = 90.00°
Space group P4/mmm (No. 123)
Asymmetric unit:
Na 0.0000 0.5000 0.0000 x2
Nb 0.0000 0.0000 0.5000 x1
Co 0.5000 0.5000 0.5000 x1
W 0.5000 0.5000 0.0000 x1

magnetic moment	1.77	μB/f.u.
DOS at the Fermi energy	9.61	states/eV per cell
DFT total energy	-21.47	eV per cell